1.
Material: CaSc3Os
Method: DFT, meta-GGA SCAN
State: PBEsol geometry

Geometry as POSCAR:
```
CaSc3Os
1.0
5.073 0.000 0.000
0.000 5.073 0.000
0.000 0.000 5.073
Sc Os Ca
3 1 1
Cartesian
2.536 0.000 0.000
0.000 0.000 2.536
0.000 2.536 0.000
0.000 0.000 0.000
2.536 2.536 2.536
```

Summary:
**Space-group type**: Pm-3m, No. 221
**Formation enthalpy at 0 K**: -0.19 eV per atom
**Total energy**: -25.043 eV per atom

2.
Material: ZrTlCl2
Method: DFT, meta-GGA SCAN
State: PBEsol geometry

Geometry as POSCAR:
```
ZrTlCl2
1.0
-0.576 -2.944 0.958
3.094 -0.507 0.303
-0.370 2.868 8.591
Tl Cl Zr
1 2 1
Cartesian
1.259 -1.726 0.630
-0.123 0.954 2.858
-0.247 1.914 5.733
1.074 -0.292 4.926
```

Summary:
**Space-group type**: P4/mmm, No. 123
**Energy relative to the lowest polymorph listed for this composition**: 0.000 eV per atom
**Total energy**: -30.828 eV per atom
**Uncorrected formation energy**: -1.07 eV per atom

3.
Material: InAg3
Method: DFT, meta-GGA SCAN
State: PBEsol geometry

Geometry as POSCAR:
```
InAg3
1.0
5.186 0.000 0.000
0.000 5.801 0.000
0.000 0.000 9.421
Ag In
12 4
Cartesian
2.185 2.207 7.066
0.408 5.107 2.355
3.909 5.043 9.419
1.277 0.759 0.002
4.778 0.694 7.066
3.870 2.142 4.709
3.909 5.043 4.713
1.277 0.759 4.709
1.316 3.660 4.713
3.870 2.142 0.002
3.001 3.595 2.355
1.316 3.660 9.419
2.984 0.625 2.355
4.795 3.526 7.066
2.202 5.177 7.066
0.391 2.276 2.355
```

Summary:
**Space-group type**: Pnma, No. 62
**Formation enthalpy at 0 K**: -0.01 eV per atom
**Total energy**: -31.886 eV per atom

4.
Material: IrRu2
Method: DFT, meta-GGA SCAN
State: PBEsol geometry

Geometry as POSCAR:
```
IrRu2
1.0
2.697 0.000 0.000
-1.348 4.883 0.001
0.000 -1.510 6.166
Ru Ir
4 2
Cartesian
0.000 1.676 5.299
1.348 1.697 0.868
1.348 0.575 3.258
0.000 2.798 2.909
0.000 -0.941 4.959
1.348 4.313 1.208
```

Summary:
**Space-group type**: C2/m, No. 12
**Formation enthalpy at 0 K**: -0.07 eV per atom
**Energy relative to the lowest polymorph listed for this composition**: 0.008 eV per atom
**Total energy**: -46.987 eV per atom

5.
Material: Sb2IrAu
Method: DFT, meta-GGA SCAN
State: PBEsol geometry

Geometry as POSCAR:
```
Sb2IrAu
1.0
-2.998 0.431 -0.196
-0.424 -3.250 -0.670
-0.735 -1.529 7.879
Sb Ir Au
2 1 1
Cartesian
-2.079 -0.990 6.118
-1.654 -0.107 1.565
-0.212 -1.625 -0.335
-2.078 -2.174 3.507
```

Summary:
**Space-group type**: Pmmm, No. 47
**Energy relative to the lowest polymorph listed for this composition**: 0.000 eV per atom
**Total energy**: -53.560 eV per atom
**Uncorrected formation energy**: 0.13 eV per atom

6.
Material: TaH3Br
Method: DFT, meta-GGA SCAN
State: PBEsol geometry

Geometry as POSCAR:
```
TaH3Br
1.0
3.617 0.000 0.000
0.000 3.617 0.000
0.000 0.000 3.617
H Br Ta
3 1 1
Cartesian
0.000 1.809 0.000
1.809 0.000 0.000
0.000 0.000 1.809
0.000 0.000 0.000
1.809 1.809 1.809
```

Summary:
**Space-group type**: Pm-3m, No. 221
**Total energy**: -17.390 eV per atom

7.
Material: CoTeP2
Method: DFT, meta-GGA SCAN
State: PBEsol geometry

Geometry as POSCAR:
```
CoTeP2
1.0
3.559 0.000 0.000
0.000 3.559 0.000
0.000 0.000 5.137
Co P Te
1 2 1
Cartesian
0.000 0.000 2.569
1.779 0.000 0.000
0.000 1.779 0.000
1.779 1.779 2.569
```

Summary:
**Space-group type**: P4/mmm, No. 123
**Total energy**: -18.063 eV per atom
**Uncorrected formation energy**: 0.77 eV per atom

8.
Material: CaLa3Fe
Method: DFT, meta-GGA SCAN
State: PBEsol geometry

Geometry as POSCAR:
```
CaLa3Fe
1.0
5.391 0.000 0.000
0.000 5.391 0.000
0.000 0.000 5.391
La Ca Fe
3 1 1
Cartesian
0.000 2.696 0.000
2.696 0.000 0.000
0.000 0.000 2.696
2.696 2.696 2.696
0.000 0.000 0.000
```

Summary:
**Space-group type**: Pm-3m, No. 221
**Formation enthalpy at 0 K**: 0.13 eV per atom
**Total energy**: -31.294 eV per atom

9.
Material: Sr3SnP
Method: DFT, meta-GGA SCAN
State: PBEsol geometry

Geometry as POSCAR:
```
Sr3SnP
1.0
-0.303 -1.533 5.493
-2.467 -4.924 -1.510
5.142 -2.453 -0.402
P Sn Sr
1 1 3
Cartesian
0.000 0.000 0.000
1.186 -4.455 1.791
-0.151 -0.767 2.747
2.571 -1.226 -0.201
-1.234 -2.462 -0.755
```

Summary:
**Space-group type**: Pm-3m, No. 221
**Formation enthalpy at 0 K**: -0.80 eV per atom
**Total energy**: -23.429 eV per atom

10.
Material: Ta2GeO
Method: DFT, meta-GGA SCAN
State: PBEsol geometry

Geometry as POSCAR:
```
Ta2GeO
1.0
4.279 0.000 0.000
2.139 3.705 0.000
2.139 1.235 3.493
Ta O Ge
2 1 1
Cartesian
6.418 3.705 2.620
2.139 1.235 0.873
0.000 0.000 0.000
4.279 2.470 1.747
```

Summary:
**Space-group type**: Fm-3m, No. 225
**Total energy**: -39.939 eV per atom
**Uncorrected formation energy**: -0.32 eV per atom

11.
Material: Al4Fe2Si5O18
Method: DFT, meta-GGA SCAN
State: PBEsol geometry

Geometry as POSCAR:
```
Al4Fe2Si5O18
1.0
-4.064 1.773 8.240
3.690 -8.355 3.617
8.915 0.060 4.384
Fe O Al Si
4 36 8 10
Cartesian
7.447 -5.051 7.416
5.415 -4.165 11.536
1.094 -1.472 8.826
3.126 -2.358 4.705
-0.243 -1.787 7.190
6.124 -2.427 12.556
0.370 0.375 5.415
5.536 -5.669 13.057
4.730 -5.781 3.576
3.298 -3.894 11.576
6.310 -0.664 3.255
8.954 -3.661 6.817
3.610 -0.528 5.692
7.551 -4.198 11.553
4.863 -1.102 7.949
0.103 0.412 9.070
8.784 -4.736 9.052
-0.414 -2.861 9.425
3.005 -0.854 3.185
4.931 -5.994 10.549
7.875 -2.514 4.425
3.678 -5.421 8.293
6.204 -5.161 5.685
6.295 -7.631 4.746
6.090 -6.500 8.200
7.194 -1.508 9.186
8.438 -6.934 7.172
2.451 -0.023 8.041
2.417 -4.096 3.686
5.242 -2.629 4.666
8.170 -6.898 10.827
1.533 -1.722 1.127
6.152 -3.350 7.549
4.991 -2.843 9.905
2.389 -3.173 8.692
3.550 -3.679 6.337
2.337 -1.362 10.557
0.990 -2.325 4.689
1.347 -5.014 7.056
11.072 -6.574 6.875
3.274 -5.358 2.767
-0.181 -1.251 5.493
5.288 -3.705 6.058
9.331 -2.937 5.234
8.722 -5.272 10.749
3.440 0.474 4.255
3.253 -2.818 10.184
1.411 1.359 8.370
6.495 -2.212 3.679
4.652 -6.496 9.005
5.852 -2.176 8.668
-1.203 -2.848 7.989
6.110 -6.083 4.322
2.689 -4.347 7.574
3.889 -0.027 7.237
9.826 -7.457 6.450
0.829 -3.734 3.869
2.780 -0.838 1.551
```

Summary:
**Space-group type**: Cccm, No. 66
**Total energy**: -10.822 eV per atom
**Uncorrected formation energy**: -2.91 eV per atom

12.
Material: Li5Sb
Method: DFT, meta-GGA SCAN
State: PBEsol geometry

Geometry as POSCAR:
```
Li5Sb
1.0
4.507 0.000 0.000
0.000 4.512 0.005
0.000 2.261 5.212
Li Sb
5 1
Cartesian
0.000 2.259 3.621
0.000 2.256 0.002
2.253 4.516 3.487
2.253 2.257 1.730
0.000 4.514 1.595
2.253 0.000 0.000
```

Summary:
**Space-group type**: P2/m, No. 10
**Energy relative to the lowest polymorph listed for this composition**: 0.037 eV per atom
**Total energy**: -8.600 eV per atom
**Uncorrected formation energy**: -0.40 eV per atom

13.
Material: LiMgCd2
Method: DFT, meta-GGA SCAN
State: PBEsol geometry

Geometry as POSCAR:
```
LiMgCd2
1.0
-1.858 1.539 4.067
4.334 -1.939 -0.036
3.803 2.720 0.708
Li Cd Mg
1 2 1
Cartesian
0.973 2.130 2.388
2.653 0.095 1.176
0.000 0.000 0.000
3.626 2.225 3.564
```

Summary:
**Space-group type**: I-4m2, No. 119
**Formation enthalpy at 0 K**: -0.27 eV per atom
**Total energy**: -17.315 eV per atom

14.
Material: NaTa2F
Method: DFT, meta-GGA SCAN
State: PBEsol geometry

Geometry as POSCAR:
```
NaTa2F
1.0
-5.058 -0.122 -2.831
-2.600 -2.103 4.736
2.758 6.248 0.740
Na Ta F
2 4 2
Cartesian
-1.835 1.516 3.215
0.000 0.000 0.000
-3.447 0.697 0.192
-2.068 3.821 0.562
-4.747 -0.355 2.560
0.461 3.882 1.977
-3.829 -1.113 0.953
-3.065 2.507 -0.569
```

Summary:
**Space-group type**: I4_1/amd, No. 141
**Total energy**: -34.287 eV per atom
**Uncorrected formation energy**: 0.94 eV per atom

15.
Material: ScIn2Ir
Method: DFT, meta-GGA SCAN
State: PBEsol geometry

Geometry as POSCAR:
```
ScIn2Ir
1.0
4.299 0.000 0.000
0.000 4.299 0.000
-2.149 -2.149 3.993
In Sc Ir
2 1 1
Cartesian
0.000 0.000 0.000
2.149 0.000 1.997
0.000 2.149 1.997
2.149 2.149 0.000
```

Summary:
**Space-group type**: I-4m2, No. 119
**Formation enthalpy at 0 K**: -0.42 eV per atom
**Total energy**: -38.450 eV per atom

16.
Material: GeRh2Se
Method: DFT, meta-GGA SCAN
State: PBEsol geometry

Geometry as POSCAR:
```
GeRh2Se
1.0
4.350 0.000 0.000
2.175 3.767 0.000
2.175 1.256 3.552
Rh Ge Se
2 1 1
Cartesian
6.525 3.767 2.664
2.175 1.256 0.888
0.000 0.000 0.000
4.350 2.511 1.776
```

Summary:
**Space-group type**: Fm-3m, No. 225
**Total energy**: -26.718 eV per atom
**Uncorrected formation energy**: -0.04 eV per atom

17.
Material: LaIr
Method: DFT, meta-GGA SCAN
State: PBEsol geometry

Geometry as POSCAR:
```
LaIr
1.0
-1.582 -0.871 3.476
2.398 -2.552 -1.756
5.732 3.063 3.376
Ir La
2 2
Cartesian
2.504 -1.226 0.832
4.044 0.866 4.264
2.866 1.532 1.688
0.000 0.000 0.000
```

Summary:
**Space-group type**: P6_3/mmc, No. 194
**Formation enthalpy at 0 K**: -0.48 eV per atom
**Total energy**: -57.584 eV per atom

18.
Material: LaSiP2Cl
Method: DFT, meta-GGA SCAN
State: PBEsol geometry

Geometry as POSCAR:
```
LaSiP2Cl
1.0
5.232 0.000 0.000
0.000 5.396 0.000
0.000 0.000 5.396
La P Si Cl
1 2 1 1
Cartesian
0.000 0.000 0.000
0.000 2.698 0.000
0.000 0.000 2.698
2.616 2.698 2.698
2.616 0.000 0.000
```

Summary:
**Space-group type**: P4/mmm, No. 123
**Total energy**: -15.883 eV per atom
**Uncorrected formation energy**: 0.50 eV per atom

19.
Material: Rb3Bi2I9
Method: DFT, meta-GGA SCAN
State: PBEsol geometry

Geometry as POSCAR:
```
Rb3Bi2I9
1.0
8.275 -0.102 -0.142
-4.206 7.127 -0.142
-0.609 -1.052 21.163
Rb I Bi
6 18 4
Cartesian
-3.841 6.565 5.148
4.308 2.177 1.354
-0.559 4.294 11.935
7.301 -0.592 15.730
-0.848 3.795 19.524
4.019 1.679 8.943
1.333 2.865 15.730
-2.132 3.159 4.696
-1.888 6.127 1.585
-0.545 1.296 8.320
-0.036 6.777 5.600
-2.490 5.088 8.711
0.443 2.548 1.139
3.017 3.425 19.739
1.775 4.847 9.158
5.348 -0.154 19.292
2.126 3.108 5.148
4.005 4.677 12.558
5.592 2.814 16.181
1.685 1.126 11.720
1.091 -0.354 18.901
5.949 0.884 12.167
2.369 6.327 1.977
3.496 -0.804 15.278
3.271 1.289 17.730
-0.204 4.005 7.149
3.664 1.968 13.729
0.189 4.684 3.148
```

Summary:
**Space-group type**: C2/c, No. 15
**Total energy**: -40.249 eV per atom
**Uncorrected formation energy**: -0.96 eV per atom

20.
Material: K2RePb
Method: DFT, meta-GGA SCAN
State: PBEsol geometry

Geometry as POSCAR:
```
K2RePb
1.0
-3.067 2.782 -0.030
-2.818 -3.105 0.164
3.062 0.354 5.643
Pb K Re
1 2 1
Cartesian
-1.409 -1.552 0.082
-2.882 -0.064 2.938
0.059 0.096 2.839
-1.534 1.391 -0.015
```

Summary:
**Space-group type**: Immm, No. 71
**Formation enthalpy at 0 K**: 1.08 eV per atom
**Total energy**: -39.799 eV per atom